# Na4MoS3O14 (GGA+U, relaxed)
data_Na4MoS3O14
_cell_length_a 8.6380
_cell_length_b 9.4749
_cell_length_c 15.2915
_cell_angle_alpha 90.00
_cell_angle_beta 90.00
_cell_angle_gamma 90.00
_space_group_name_H-M_alt 'P 21 21 21'
_space_group_IT_number 19
loop_
_space_group_symop_operation_xyz
'x,y,z'
'-x+1/2,-y,z+1/2'
'x+1/2,-y+1/2,-z'
'-x,y+1/2,-z+1/2'
loop_
_atom_site_label
_atom_site_type_symbol
_atom_site_fract_x
_atom_site_fract_y
_atom_site_fract_z
Na1 Na 0.0654 0.0340 0.2875
Na2 Na 0.1701 0.9890 0.0293
Na3 Na 0.1969 0.2581 0.6830
Na4 Na 0.1995 0.5765 0.8342
Mo1 Mo 0.2256 0.6080 0.5736
S1 S 0.0302 0.6424 0.0127
S2 S 0.0781 0.7044 0.3818
S3 S 0.1296 0.8755 0.7059
O1 O 0.0012 0.1994 0.5746
O2 O 0.0309 0.4055 0.7686
O3 O 0.0540 0.5190 0.5565
O4 O 0.0704 0.5545 0.3552
O5 O 0.0746 0.2418 0.0763
O6 O 0.1070 0.0816 0.4445
O7 O 0.1101 0.7441 0.0700
O8 O 0.1143 0.7959 0.3070
O9 O 0.1161 0.7743 0.6261
O10 O 0.1457 0.5174 0.9933
O11 O 0.2016 0.4727 0.1682
O12 O 0.2024 0.7241 0.4509
O13 O 0.2119 0.0029 0.6753
O14 O 0.2193 0.8028 0.7740
# N(E_F) = 0.0 states/eV/f.u.
# Calculated total energy = -5.96 eV/atom